Record 1
DFT (GGA-PBE) results for a relaxed CrGe2W crystal.

Cell lengths 4.3434, 4.3434, 4.3434 Å; angles 60.00, 60.00, 60.00 degrees
Atoms (fractional coordinates):
1 Cr 0.0000 0.0000 0.0000
2 Ge 0.2500 0.2500 0.2500
3 Ge 0.7500 0.7500 0.7500
4 W 0.5000 0.5000 0.5000

Output
Spin magnetization: 0.00 μB per atom
SG: No. 225
Total DFT energy (no corrections): -7.58 eV/atom
Density: 10.9 g cm⁻³

---

Record 2
DFT (GGA-PBE) results for a relaxed Ce2P3PdRh4 crystal.

Cell lengths 3.9373, 3.9373, 10.8932 Å; angles 90.00, 90.00, 90.00 degrees
Atoms (fractional coordinates):
1 Ce 0.0000 0.5000 0.2435
2 Ce 0.5000 0.0000 0.7565
3 P 0.0000 0.0000 0.0000
4 P 0.0000 0.5000 0.6237
5 P 0.5000 0.0000 0.3763
6 Pd 0.5000 0.5000 0.0000
7 Rh 0.0000 0.0000 0.5000
8 Rh 0.0000 0.5000 0.8318
9 Rh 0.5000 0.0000 0.1682
10 Rh 0.5000 0.5000 0.5000

Output
Spin magnetization: 0.00 μB per atom
SG: No. 115
Total DFT energy (no corrections): -7.26 eV/atom
Density: 8.8 g cm⁻³

---

Number 1: volume 57.9 Å³ per cell. Number 2: volume 168.9 Å³ per cell.